This record from Alexandria via LeMat-Bulk describes an optimized crystal structure of Sr3CoSb2O9. The functional is PBE+U.

Cell and atoms, written as POSCAR:
```
Sr3CoSb2O9
1.0
-6.303 -5.352 5.457
2.576 -9.109 2.924
2.194 9.660 0.149
O Sb Sr Co
18 4 6 2
Direct
0.745 0.500 0.245 O
0.100 0.838 0.262 O
0.581 0.828 0.247 O
0.255 0.500 0.755 O
0.900 0.162 0.738 O
0.081 0.825 0.745 O
0.419 0.666 0.247 O
0.252 0.504 0.252 O
0.252 0.000 0.748 O
0.919 0.664 0.745 O
0.419 0.172 0.753 O
0.748 0.000 0.252 O
0.919 0.175 0.255 O
0.576 0.838 0.738 O
0.081 0.336 0.255 O
0.581 0.334 0.753 O
0.424 0.162 0.262 O
0.748 0.496 0.748 O
0.333 0.833 0.500 Sb
0.000 0.500 0.500 Sb
0.500 0.500 0.000 Sb
0.667 0.167 0.500 Sb
0.931 0.674 0.258 Sr
0.768 0.000 0.768 Sr
0.584 0.326 0.258 Sr
0.232 0.000 0.232 Sr
0.416 0.674 0.742 Sr
0.069 0.326 0.742 Sr
0.167 0.167 0.000 Co
0.833 0.833 0.000 Co
```

Total energy ... -0.2293 Ha/atom
Magnetization ... 0.200 μB per atom
Space-group type ... Immm, No. 71